# 1
Computed, not measured: a relaxed PaAs2Pt crystal at the PBE level of DFT.

It has space group P4/mmm (No. 123), with a = 4.4655 Å, b = 4.4655 Å, c = 3.8209 Å, α = 90.00°, β = 90.00° and γ = 90.00°. Symmetry generates all atoms from Pa at (0.0000, 0.0000, 0.0000), As at (0.0000, 0.5000, 0.5000) and Pt at (0.5000, 0.5000, 0.0000).

As for the total DFT energy (no corrections): -0.2567 hartree per atom. The calculation puts the formation energy at -3.10 eV/f.u.

# 2
Computed, not measured: a relaxed PaAsPt2 crystal at the PBE level of DFT.

It has space group R-3m (No. 166, hexagonal axes), with a = 4.8980 Å, b = 4.8980 Å, c = 11.2799 Å, α = 90.00°, β = 90.00° and γ = 120.00°. Symmetry generates all atoms from Pa at (0.0000, 0.0000, 0.0000), As at (0.0000, 0.0000, 0.5000) and Pt at (0.0000, 0.0000, 0.2621).

As for the total DFT energy (no corrections): -0.2657 hartree per atom. The calculation puts the formation energy at -2.69 eV/f.u.

# 3
Computed, not measured: a relaxed PaAsPt crystal at the PBE level of DFT.

It has space group P3m1 (No. 156), with a = 4.2169 Å, b = 4.2169 Å, c = 4.0811 Å, α = 90.00°, β = 90.00° and γ = 120.00°. Symmetry generates all atoms from Pa at (0.0000, 0.0000, 0.0000), As at (0.6667, 0.3333, 0.5680) and Pt at (0.3333, 0.6667, 0.3676).

As for the total DFT energy (no corrections): -0.2837 hartree per atom. The calculation puts the formation energy at -2.97 eV/f.u.

# 4
Computed, not measured: a relaxed Pa5As5Pt crystal at the PBE level of DFT.

It has space group C2/m (No. 12), with a = 13.0313 Å, b = 5.7466 Å, c = 8.1413 Å, α = 90.00°, β = 108.31° and γ = 90.00°. Symmetry generates all atoms from Pa at (0.0000, 0.0000, 0.0000), Pa at (0.1593, 0.5000, 0.8324), Pa at (0.1631, 0.5000, 0.3302), As at (0.0000, 0.5000, 0.5000), As at (0.1670, 0.0000, 0.8318), As at (0.1735, 0.0000, 0.3350) and Pt at (0.0000, 0.5000, 0.0000).

As for the total DFT energy (no corrections): -0.2861 hartree per atom. The calculation puts the formation energy at -8.86 eV/f.u.

# 5
Computed, not measured: a relaxed PaAs2Pt crystal at the PBE level of DFT.

It has space group R-3m (No. 166, hexagonal axes), with a = 3.0823 Å, b = 3.0823 Å, c = 29.1111 Å, α = 90.00°, β = 90.00° and γ = 120.00°. Symmetry generates all atoms from Pa at (0.0000, 0.0000, 0.0000), As at (0.0000, 0.0000, 0.4172) and Pt at (0.0000, 0.0000, 0.5000).

As for the total DFT energy (no corrections): -0.2337 hartree per atom. The calculation puts the formation energy at -0.60 eV/f.u.

# 6
Computed, not measured: a relaxed Pa2As4Pt crystal at the PBE level of DFT.

It has space group P-4m2 (No. 115), with a = 4.0772 Å, b = 4.0772 Å, c = 9.0037 Å, α = 90.00°, β = 90.00° and γ = 90.00°. Symmetry generates all atoms from Pa at (0.0000, 0.5000, 0.2487), As at (0.0000, 0.0000, 0.0000), As at (0.0000, 0.5000, 0.6694), As at (0.5000, 0.5000, 0.0000) and Pt at (0.0000, 0.0000, 0.5000).

As for the total DFT energy (no corrections): -0.2620 hartree per atom. The calculation puts the formation energy at -6.27 eV/f.u.

# 7
Computed, not measured: a relaxed PaAsPt crystal at the PBE level of DFT.

It has space group Cmcm (No. 63), with a = 3.7021 Å, b = 17.4256 Å, c = 3.9444 Å, α = 90.00°, β = 90.00° and γ = 90.00°. Symmetry generates all atoms from Pa at (0.0000, 0.1125, 0.2500), As at (0.0000, 0.2482, 0.7500) and Pt at (0.0000, 0.4437, 0.2500).

As for the total DFT energy (no corrections): -0.2771 hartree per atom. The calculation puts the formation energy at -2.43 eV/f.u.

# 8
Computed, not measured: a relaxed Pa4As2PtS crystal at the PBE level of DFT.

It has space group P2/m (No. 10), with a = 7.0709 Å, b = 3.9149 Å, c = 7.1747 Å, α = 90.00°, β = 108.61° and γ = 90.00°. Symmetry generates all atoms from Pa at (0.2391, 0.0000, 0.2392), Pa at (0.2519, 0.5000, 0.7627), As at (0.0000, 0.0000, 0.5000), As at (0.5000, 0.5000, 0.5000), Pt at (0.5000, 0.0000, 0.0000) and S at (0.0000, 0.5000, 0.0000).

The calculation puts the formation energy (no corrections) at -1.090 eV/atom. As for the total DFT energy (no corrections): -0.3040 hartree per atom.

# 9
Computed, not measured: a relaxed PaAsPtS crystal at the PBE level of DFT.

It has space group P4/nmm (No. 129, origin choice 2), with a = 4.1941 Å, b = 4.1941 Å, c = 8.5899 Å, α = 90.00°, β = 90.00° and γ = 90.00°. Symmetry generates all atoms from Pa at (0.2500, 0.2500, 0.2114), As at (0.2500, 0.2500, 0.6916), Pt at (0.2500, 0.7500, 0.5000) and S at (0.2500, 0.7500, 0.0000).

The calculation puts the formation energy (no corrections) at -1.060 eV/atom. As for the total DFT energy (no corrections): -0.2623 hartree per atom.

# 10
Computed, not measured: a relaxed Pa4As2PtSe crystal at the PBE level of DFT.

It has space group P2/m (No. 10), with a = 7.1457 Å, b = 3.9656 Å, c = 7.2186 Å, α = 90.00°, β = 108.64° and γ = 90.00°. Symmetry generates all atoms from Pa at (0.2404, 0.0000, 0.2428), Pa at (0.2479, 0.5000, 0.7490), As at (0.0000, 0.0000, 0.5000), As at (0.5000, 0.5000, 0.5000), Pt at (0.0000, 0.5000, 0.0000) and Se at (0.5000, 0.0000, 0.0000).

The calculation puts the formation energy (no corrections) at -1.008 eV/atom. As for the total DFT energy (no corrections): -0.2980 hartree per atom.